Entry 1:
{"formula": "Tb2YSc", "functional": "PBE", "state": "optimized geometry", "total_magnetization_mub_per_fu": 0.0, "e_above_lowest_polymorph_mev_per_atom": 6, "formation_energy_kcal_per_mol_atoms": 0.951, "lattice_angstrom": [[3.523, 0.000, 0.000], [0.000, 3.523, 0.000], [0.000, 0.000, 9.695]], "species": ["Y", "Sc", "Tb", "Tb"], "frac_coords": [[0.500, 0.500, 0.500], [0.500, 0.500, 0.000], [0.000, 0.000, 0.763], [0.000, 0.000, 0.237]]}



Entry 2:
{"formula": "CePrNd", "functional": "PBE", "state": "optimized geometry", "total_magnetization_mub_per_fu": 0.2, "e_above_lowest_polymorph_mev_per_atom": 0, "formation_energy_kcal_per_mol_atoms": 1.668, "lattice_angstrom": [[3.589, 0.000, 0.000], [0.000, 3.589, 0.000], [-1.794, -1.794, 7.681]], "species": ["Ce", "Nd", "Pr"], "frac_coords": [[0.333, 0.333, 0.666], [0.676, 0.676, 0.352], [0.991, 0.991, 0.982]]}



Entry 3:
{"formula": "SiPSe2", "functional": "PBE", "state": "optimized geometry", "total_magnetization_mub_per_fu": 0.0, "formation_energy_uncorrected_ev_per_atom": 0.051, "e_above_lowest_polymorph_mev_per_atom": 137, "lattice_angstrom": [[3.314, 0.000, 0.000], [0.000, 3.309, 0.000], [0.000, 0.000, 8.324]], "species": ["Se", "Se", "P", "Si"], "frac_coords": [[0.500, 0.500, 0.321], [0.000, 0.000, 0.932], [0.500, 0.500, 0.584], [0.000, 0.000, 0.664]]}



Entry 4:
{"formula": "TlV2BiB", "functional": "PBE", "state": "optimized geometry", "total_magnetization_mub_per_fu": 4.6, "formation_energy_kcal_per_mol_atoms": 14.871, "lattice_angstrom": [[-3.763, -2.400, 0.695], [-0.139, -1.072, -4.452], [2.494, -3.678, 0.807]], "species": ["Bi", "B", "V", "V", "Tl"], "frac_coords": [[0.500, 0.500, 0.500], [0.000, 0.000, 0.000], [0.500, 0.000, 0.000], [0.000, 0.000, 0.500], [0.000, 0.500, 0.000]]}



Entry 5:
{"formula": "Cr2CdSe", "functional": "PBE", "state": "optimized geometry", "total_magnetization_mub_per_fu": 8.1, "formation_energy_uncorrected_ev_per_atom": 0.472, "e_above_lowest_polymorph_mev_per_atom": 304, "lattice_angstrom": [[-3.880, -2.092, 2.439], [-1.566, -3.747, -2.982], [4.644, 0.997, 1.679]], "species": ["Cd", "Cr", "Se", "Cr"], "frac_coords": [[0.750, 0.250, 0.500], [0.000, 0.000, 0.000], [0.250, 0.750, 0.500], [0.500, 0.500, 0.000]]}



Entry 6:
{"formula": "Cs6Ag2AuO", "functional": "PBE", "state": "optimized geometry", "total_magnetization_mub_per_fu": 0.0, "formation_energy_uncorrected_ev_per_atom": -0.341, "lattice_angstrom": [[8.755, 0.000, 0.063], [0.000, 9.264, 0.000], [0.162, 0.000, 12.553]], "species": ["O", "Ag", "Cs", "Au", "Cs", "Cs", "Ag", "Cs", "Cs", "Cs", "Cs", "Cs", "Cs", "Au", "Cs", "Ag", "Cs", "O", "Ag", "Cs"], "frac_coords": [[0.000, 0.500, 0.000], [0.474, 0.427, 0.248], [0.095, 0.469, 0.778], [0.000, 0.500, 0.500], [0.405, 0.969, 0.722], [0.275, 0.671, 0.043], [0.026, 0.927, 0.252], [0.833, 0.774, 0.948], [0.595, 0.031, 0.278], [0.667, 0.274, 0.552], [0.225, 0.171, 0.457], [0.167, 0.226, 0.052], [0.725, 0.329, 0.957], [0.500, 0.000, 0.000], [0.775, 0.829, 0.543], [0.974, 0.073, 0.748], [0.333, 0.726, 0.448], [0.500, 0.000, 0.500], [0.526, 0.573, 0.752], [0.905, 0.531, 0.222]]}



Entry 7:
{"formula": "SrLiAlHg3", "functional": "PBE", "state": "optimized geometry", "total_magnetization_mub_per_fu": 0.0, "formation_energy_kcal_per_mol_atoms": -5.245, "lattice_angstrom": [[6.583, 0.000, 0.000], [0.000, 7.054, 0.000], [0.000, -3.527, 6.405]], "species": ["Hg", "Al", "Li", "Hg", "Hg", "Sr", "Al", "Sr", "Hg", "Hg", "Li", "Hg"], "frac_coords": [[0.500, 0.720, 0.000], [0.750, 0.628, 0.255], [0.250, 0.956, 0.911], [0.000, 0.720, 0.000], [0.750, 0.836, 0.673], [0.250, 0.711, 0.422], [0.250, 0.372, 0.745], [0.750, 0.289, 0.578], [0.500, 0.280, 0.000], [0.250, 0.164, 0.327], [0.750, 0.044, 0.089], [0.000, 0.280, 0.000]]}



Entry 8:
{"formula": "LiFeCoS2", "functional": "PBE", "state": "optimized geometry", "total_magnetization_mub_per_fu": 5.3, "formation_energy_uncorrected_ev_per_atom": 0.801, "lattice_angstrom": [[-1.003, -1.459, -3.926], [3.767, -1.255, -0.496], [-1.050, -3.821, 1.688]], "species": ["Li", "S", "Fe", "S", "Co"], "frac_coords": [[0.000, 0.000, 0.000], [0.000, 0.000, 0.500], [0.000, 0.500, 0.000], [0.500, 0.000, 0.000], [0.500, 0.500, 0.500]]}



Entry 9:
{"formula": "Al3ZnPd", "functional": "PBE", "state": "optimized geometry", "total_magnetization_mub_per_fu": 0.0, "e_above_lowest_polymorph_mev_per_atom": 0, "formation_energy_kcal_per_mol_atoms": -7.427, "lattice_angstrom": [[6.771, 3.639, -4.375], [-6.786, -2.931, -4.857], [-2.057, 4.219, 0.327]], "species": ["Zn", "Al", "Zn", "Al", "Pd", "Pd", "Pd", "Al", "Al", "Al", "Pd", "Al", "Al", "Al", "Al", "Al", "Zn", "Al", "Zn", "Al"], "frac_coords": [[0.090, 0.910, 0.053], [0.194, 0.806, 0.585], [0.910, 0.090, 0.947], [0.306, 0.694, 0.085], [0.117, 0.383, 0.250], [0.883, 0.617, 0.750], [0.383, 0.117, 0.750], [0.855, 0.855, 0.500], [0.645, 0.645, 0.000], [0.806, 0.194, 0.415], [0.617, 0.883, 0.250], [0.355, 0.355, 0.000], [0.694, 0.306, 0.915], [0.059, 0.441, 0.750], [0.941, 0.559, 0.250], [0.559, 0.941, 0.750], [0.410, 0.590, 0.553], [0.145, 0.145, 0.500], [0.590, 0.410, 0.447], [0.441, 0.059, 0.250]]}



Entry 10:
{"formula": "RbBa3Zr", "functional": "PBE", "state": "optimized geometry", "total_magnetization_mub_per_fu": 0.0, "e_above_lowest_polymorph_mev_per_atom": 733, "formation_energy_kcal_per_mol_atoms": 30.168, "lattice_angstrom": [[-4.728, 2.805, 3.128], [-2.857, -5.599, 0.701], [3.080, -0.889, 5.452]], "species": ["Rb", "Ba", "Ba", "Ba", "Zr"], "frac_coords": [[0.000, 0.000, 0.000], [0.500, 0.000, 0.000], [0.000, 0.500, 0.000], [0.000, 0.000, 0.500], [0.500, 0.500, 0.500]]}



Entry 11:
{"formula": "CoMo2HRu", "functional": "PBE", "state": "optimized geometry", "total_magnetization_mub_per_fu": 0.0, "e_above_lowest_polymorph_mev_per_atom": 50, "lattice_angstrom": [[3.920, 0.000, 0.000], [0.000, 3.920, 0.000], [0.000, 0.000, 3.806]], "species": ["Co", "Mo", "Ru", "Mo", "H"], "frac_coords": [[0.500, 0.500, 0.500], [0.000, 0.500, 0.000], [0.000, 0.000, 0.500], [0.500, 0.000, 0.000], [0.000, 0.000, 0.000]]}



Entry 12:
{"formula": "Ag4C", "functional": "PBE", "state": "optimized geometry", "total_magnetization_mub_per_fu": 0.0, "e_above_lowest_polymorph_mev_per_atom": 195, "formation_energy_kcal_per_mol_atoms": 20.440, "lattice_angstrom": [[-2.560, -1.777, 3.663], [0.070, 4.800, 0.273], [-2.009, -1.340, -4.158]], "species": ["Ag", "Ag", "C", "Ag", "Ag"], "frac_coords": [[0.000, 0.000, 0.500], [0.500, 0.000, 0.000], [0.000, 0.000, 0.000], [0.000, 0.500, 0.000], [0.500, 0.500, 0.500]]}



no.,V (Å³ per atom),energy (eV for the cell shown)
1,30.080,-21.89
2,32.973,-15.26
3,22.819,-17.60
4,18.692,-27.94
5,18.747,-21.76
6,50.902,-44.93
7,24.785,-19.22
8,14.845,-21.73
9,16.416,-77.22
10,50.602,-8.74
11,11.695,-41.02
12,17.120,-16.20